No. 1
LaPrNd2Ho5: optimized geometry, GGA-PBE.

Structure (POSCAR):
```
LaPrNd2Ho5
1.0
-4.3786 4.3786 7.8342
4.3786 -4.3786 7.8342
4.3786 4.3786 -7.8342
La Pr Nd Ho
2 2 4 10
direct
0.2500 0.7500 0.5000
0.7500 0.2500 0.5000
0.2500 0.2500 0.0000
0.7500 0.7500 0.0000
0.1178 0.6178 0.7356
0.3822 0.1178 0.5000
0.6178 0.8822 0.5000
0.8822 0.3822 0.2644
0.0000 0.0000 0.0000
0.0718 0.1565 0.5000
0.1565 0.6565 0.0847
0.3435 0.4282 0.5000
0.4282 0.9282 0.0847
0.5000 0.5000 0.0000
0.5718 0.0718 0.9153
0.6565 0.5718 0.5000
0.8435 0.3435 0.9153
0.9282 0.8435 0.5000
```

Summary:
As for the formation energy from the elements: 238 meV per atom.

No. 2
KTl2SbI6: optimized geometry, GGA-PBE.

Structure (POSCAR):
```
KTl2SbI6
1.0
4.3349 2.5028 7.4594
-4.3349 2.5028 7.4594
0.0000 -5.0055 7.4594
K Tl Sb I
1 2 1 6
direct
0.0000 0.0000 0.0000
0.2931 0.2931 0.2931
0.8045 0.8045 0.8045
0.4911 0.4911 0.4911
0.1345 0.6936 0.3958
0.2579 0.6013 0.8427
0.3958 0.1345 0.6936
0.6013 0.8427 0.2579
0.6936 0.3958 0.1345
0.8427 0.2579 0.6013
```

Summary:
The raw formation energy is -0.68 eV/atom.

No. 3
LaNi3Hg: optimized geometry, GGA-PBE.

Structure (POSCAR):
```
LaNi3Hg
1.0
4.7628 0.0000 0.0000
0.0000 4.7628 0.0000
0.0000 0.0000 4.7628
La Ni Hg
1 3 1
direct
0.0000 0.0000 0.0000
0.0000 0.0000 0.5000
0.0000 0.5000 0.0000
0.5000 0.0000 0.0000
0.5000 0.5000 0.5000
```

Summary:
As for the formation energy from the elements: 1085 meV per atom. As for the energy above the most stable polymorph in this dataset: 584 meV per atom.

No. 4
LaY2Cl: optimized geometry, GGA-PBE.

Structure (POSCAR):
```
LaY2Cl
1.0
3.9356 0.0000 0.0000
0.0000 5.2254 0.0000
-1.9191 0.0000 5.9855
La Y Cl
1 2 1
direct
0.0000 0.0000 0.0000
0.3874 0.5000 0.7314
0.6126 0.5000 0.2686
0.5000 0.0000 0.5000
```

Summary:
The raw formation energy is -0.34 eV/atom. As for the energy above the most stable polymorph in this dataset: 333 meV per atom.

No. 5
Pr3Cl: optimized geometry, GGA-PBE.

Structure (POSCAR):
```
Pr3Cl
1.0
6.9132 0.0000 0.0000
-3.4566 5.9870 0.0000
0.0000 0.0000 5.9393
Pr Cl
6 2
direct
0.1664 0.3327 0.2500
0.1664 0.8336 0.2500
0.3327 0.1664 0.7500
0.6673 0.8336 0.2500
0.8336 0.1664 0.7500
0.8336 0.6673 0.7500
0.3333 0.6667 0.7500
0.6667 0.3333 0.2500
```

Summary:
The raw formation energy is -0.14 eV/atom.

No. 6
Cs2TaIrBr: optimized geometry, GGA-PBE.

Structure (POSCAR):
```
Cs2TaIrBr
1.0
7.0554 0.0000 0.0000
0.0000 7.0554 0.0000
0.0000 0.0000 4.6209
Cs Ta Ir Br
2 1 1 1
direct
0.0000 0.5000 0.0000
0.5000 0.0000 0.0000
0.0000 0.0000 0.5000
0.5000 0.5000 0.0000
0.5000 0.5000 0.5000
```

Summary:
The raw formation energy is 1.43 eV/atom.

No. 7
BaSc3H: optimized geometry, GGA-PBE.

Structure (POSCAR):
```
BaSc3H
1.0
4.8762 0.0000 0.0000
0.0000 4.8762 0.0000
0.0000 0.0000 4.8762
Ba Sc H
1 3 1
direct
0.0000 0.0000 0.0000
0.0000 0.5000 0.5000
0.5000 0.0000 0.5000
0.5000 0.5000 0.0000
0.5000 0.5000 0.5000
```

Summary:
As for the energy above the most stable polymorph in this dataset: 0 meV per atom.

No. 8
TmCoPd2: optimized geometry, GGA-PBE.

Structure (POSCAR):
```
TmCoPd2
1.0
4.0753 0.0000 0.0000
0.0000 4.0753 0.0000
0.0000 0.0000 3.9290
Tm Co Pd
1 1 2
direct
0.0000 0.0000 0.0000
0.5000 0.5000 0.0000
0.0000 0.5000 0.5000
0.5000 0.0000 0.5000
```

Summary:
As for the formation energy from the elements: -530 meV per atom.

No. 9
LaNdDy2: optimized geometry, GGA-PBE.

Structure (POSCAR):
```
LaNdDy2
1.0
0.0000 4.0848 4.0848
4.0848 0.0000 4.0848
4.0848 4.0848 0.0000
La Nd Dy
1 1 2
direct
0.0000 0.0000 0.0000
0.5000 0.5000 0.5000
0.2500 0.2500 0.2500
0.7500 0.7500 0.7500
```

Summary:
As for the formation energy from the elements: 104 meV per atom. As for the energy above the most stable polymorph in this dataset: 92 meV per atom.

No. 10
K2Sn2PbSe4: optimized geometry, GGA-PBE.

Structure (POSCAR):
```
K2Sn2PbSe4
1.0
8.9701 -2.1154 0.0000
8.9701 2.1154 0.0000
-4.0929 0.0000 7.6215
K Sn Pb Se
2 2 1 4
direct
0.1140 0.1140 0.0372
0.8860 0.8860 0.9628
0.3031 0.3031 0.4464
0.6969 0.6969 0.5536
0.0000 0.0000 0.5000
0.1913 0.1913 0.7610
0.4594 0.4594 0.7198
0.5406 0.5406 0.2802
0.8087 0.8087 0.2390
```

Summary:
The raw formation energy is -0.72 eV/atom.

No. 11
Li3Dy3MnS8: optimized geometry, GGA-PBE.

Structure (POSCAR):
```
Li3Dy3MnS8
1.0
3.8281 2.2102 6.1315
-3.8281 2.2102 6.1315
0.0000 -4.4203 6.1315
Li Dy Mn S
3 3 1 8
direct
0.0000 0.5000 0.5000
0.5000 0.0000 0.5000
0.5000 0.5000 0.0000
0.0000 0.0000 0.5000
0.0000 0.5000 0.0000
0.5000 0.0000 0.0000
0.5000 0.5000 0.5000
0.2509 0.2509 0.2509
0.2744 0.2744 0.7187
0.2744 0.7187 0.2744
0.2813 0.7256 0.7256
0.7187 0.2744 0.2744
0.7256 0.2813 0.7256
0.7256 0.7256 0.2813
0.7491 0.7491 0.7491
```

Summary:
The raw formation energy is -1.54 eV/atom.

No. 12
BeNCl2: optimized geometry, GGA-PBE.

Structure (POSCAR):
```
BeNCl2
1.0
0.0000 3.1288 3.1288
3.1288 0.0000 3.1288
3.1288 3.1288 0.0000
Be N Cl
1 1 2
direct
0.0000 0.0000 0.0000
0.5000 0.5000 0.5000
0.2500 0.2500 0.2500
0.7500 0.7500 0.7500
```

Summary:
The raw formation energy is 1.27 eV/atom. As for the energy above the most stable polymorph in this dataset: 956 meV per atom.

Q: Number 1 is which compound?
A: LaPrNd2Ho5